1.
This record from Alexandria describes crystalline KTi3Cd at its relaxed geometry. The functional is PBE-GGA.

Cell: 5.300 5.300 5.300 Å, 90.00 90.00 90.00°
Each line ends with the local moment (μB).
Atoms (fractional coordinates):
Ti (0.000, 0.000, 0.500)  1.39
Ti (0.000, 0.500, 0.000)  1.41
Ti (0.500, 0.000, 0.000)  1.59
Cd (0.000, 0.000, 0.000)  0.06
K (0.500, 0.500, 0.500)  0.05

As for the space group: No. 221. The formation energy is 1.304 eV per atom.

---

2.
This record from Alexandria describes crystalline KTi3Cd at its relaxed geometry. The functional is PBE-GGA.

Cell: 4.604 4.604 4.604 Å, 90.00 90.00 90.00°
Each line ends with the local moment (μB).
Atoms (fractional coordinates):
Cd (0.500, 0.500, 0.500)  -0.01
K (0.000, 0.000, 0.000)  0.19
Ti (0.500, 0.000, 0.000)  0.68
Ti (0.000, 0.000, 0.500)  0.75
Ti (0.000, 0.500, 0.000)  0.66

As for the space group: No. 221. The formation energy is 1.830 eV per atom.

---

3.
This record from Alexandria describes crystalline K2TiCdW at its relaxed geometry. The functional is PBE-GGA.

Cell: 6.577 4.620 6.577 Å, 90.00 90.00 90.00°
Each line ends with the local moment (μB).
Atoms (fractional coordinates):
W (0.000, 0.000, 0.000)  1.04
Cd (0.500, 0.500, 0.500)  -0.01
K (0.000, 0.000, 0.500)  0.01
K (0.500, 0.000, 0.000)  0.01
Ti (0.000, 0.500, 0.000)  -0.30

As for the space group: No. 123. The formation energy is 1.372 eV per atom.

---

4.
This record from Alexandria describes crystalline K2TiCdW at its relaxed geometry. The functional is PBE-GGA.

Cell: 5.978 5.332 5.978 Å, 90.00 90.00 90.00°
Each line ends with the local moment (μB).
Atoms (fractional coordinates):
Cd (0.000, 0.500, 0.000)  -0.01
W (0.000, 0.000, 0.000)  -0.05
K (0.000, 0.000, 0.500)  0.00
K (0.500, 0.000, 0.000)  0.01
Ti (0.500, 0.500, 0.500)  0.12

As for the space group: No. 123. The formation energy is 2.313 eV per atom.

---

5.
This record from Alexandria describes crystalline KTlCd5 at its relaxed geometry. The functional is PBE-GGA.

Cell: 6.365 9.683 12.378 Å, 90.00 90.00 90.00°
Atoms (fractional coordinates):
Cd (0.750, 0.822, 0.759)
Cd (0.250, 0.424, 0.399)
Cd (0.250, 0.924, 0.101)
Cd (0.989, 0.924, 0.318)
Cd (0.750, 0.576, 0.601)
Cd (0.750, 0.322, 0.741)
Cd (0.511, 0.924, 0.318)
Cd (0.489, 0.076, 0.682)
Cd (0.511, 0.424, 0.182)
Cd (0.011, 0.076, 0.682)
Cd (0.750, 0.405, 0.975)
Cd (0.250, 0.178, 0.241)
Cd (0.489, 0.576, 0.818)
Cd (0.750, 0.076, 0.899)
Cd (0.250, 0.595, 0.025)
Cd (0.250, 0.678, 0.259)
Cd (0.011, 0.576, 0.818)
Cd (0.250, 0.095, 0.475)
Cd (0.750, 0.905, 0.525)
Cd (0.989, 0.424, 0.182)
K (0.250, 0.243, 0.936)
K (0.250, 0.743, 0.564)
K (0.750, 0.757, 0.064)
K (0.750, 0.257, 0.436)
Tl (0.250, 0.878, 0.859)
Tl (0.750, 0.122, 0.141)
Tl (0.250, 0.378, 0.641)
Tl (0.750, 0.622, 0.359)

As for the space group: No. 62. The formation energy is -0.064 eV per atom.

---

6.
This record from Alexandria describes crystalline K2Tl3Cd at its relaxed geometry. The functional is PBE-GGA.

Cell: 5.335 6.762 6.894 Å, 79.06 67.24 66.77°
Atoms (fractional coordinates):
K (0.438, 0.812, 0.312)
K (0.562, 0.186, 0.689)
Cd (0.160, 0.406, 0.274)
Tl (0.832, 0.238, 0.099)
Tl (0.163, 0.769, 0.906)
Tl (0.846, 0.589, 0.719)

As for the space group: No. 8. The formation energy is -0.124 eV per atom.